## Ac3AgN2 (PBE)

Data for crystalline Ac3AgN2 at its relaxed geometry.

The structure belongs to space group Pmc2_1 (No. 26); the cell edges are 3.7395, 12.2565 and 6.6285 Å and the angles 90.00°, 90.00° and 90.00°. The inequivalent atoms are Ac at (0.0000, 0.0867, 0.0000), Ac at (0.5000, 0.1739, 0.5122), Ac at (0.5000, 0.3786, 0.8963), Ag at (0.0000, 0.3799, 0.3206), N at (0.0000, 0.2571, 0.7663) and N at (0.5000, 0.0040, 0.7673).

For the formation energy (no corrections), the calculation gives -0.719 eV per atom.

***

## CsCrPb2Br8 (PBE)

Data for crystalline CsCrPb2Br8 at its relaxed geometry.

The structure belongs to space group P-1 (No. 2); the cell edges are 7.2759, 7.5434 and 8.4808 Å and the angles 73.14°, 89.23° and 88.51°. The inequivalent atoms are Cs at (0.0000, 0.0000, 0.0000), Cr at (0.0000, 0.5000, 0.5000), Pb at (0.4584, 0.4876, 0.2624), Br at (0.0526, 0.4500, 0.2197), Br at (0.2374, 0.7505, 0.4303), Br at (0.2514, 0.2622, 0.6160) and Br at (0.4715, 0.7734, 0.9451).

For the formation energy (no corrections), the calculation gives -1.028 eV per atom.

***

## MnIn2CuS4 (PBE)

Data for crystalline MnIn2CuS4 at its relaxed geometry.

The structure belongs to space group I-42m (No. 121); the cell edges are 5.7397, 5.7397 and 11.2875 Å and the angles 90.00°, 90.00° and 90.00°. The inequivalent atoms are Mn at (0.0000, 0.0000, 0.0000), In at (0.0000, 0.5000, 0.2500), Cu at (0.0000, 0.0000, 0.5000) and S at (0.2464, 0.2464, 0.3910).

For the formation energy (no corrections), the calculation gives -0.438 eV per atom.

***

## BaBeRe2 (PBE)

Data for crystalline BaBeRe2 at its relaxed geometry.

The structure belongs to space group P4mm (No. 99); the cell edges are 3.1416, 3.1416 and 7.7975 Å and the angles 90.00°, 90.00° and 90.00°. The inequivalent atoms are Ba at (0.0000, 0.0000, 0.0000), Be at (0.5000, 0.5000, 0.3401), Re at (0.0000, 0.0000, 0.4846) and Re at (0.5000, 0.5000, 0.6594).

Its formation energy is 1.828 eV/f.u.

***

## ZrP2Os (PBE)

Data for crystalline ZrP2Os at its relaxed geometry.

The structure belongs to space group Immm (No. 71); the cell edges are 2.9771, 5.2163 and 8.4567 Å and the angles 90.00°, 90.00° and 90.00°. The inequivalent atoms are Zr at (0.0000, 0.0000, 0.0000), P at (0.0000, 0.5000, 0.2177) and Os at (0.0000, 0.0000, 0.5000).

Its formation energy is -0.608 eV/f.u.

***

## FeSiAs2 (PBE)

Data for crystalline FeSiAs2 at its relaxed geometry.

The structure belongs to space group P4/mmm (No. 123); the cell edges are 2.9673, 2.9673 and 6.9906 Å and the angles 90.00°, 90.00° and 90.00°. The inequivalent atoms are Fe at (0.0000, 0.0000, 0.0000), Si at (0.0000, 0.0000, 0.5000) and As at (0.5000, 0.5000, 0.2060).

For the formation energy (no corrections), the calculation gives 0.256 eV per atom.

***

## Pr6ThSe8 (PBE)

Data for crystalline Pr6ThSe8 at its relaxed geometry.

The structure belongs to space group Fm-3m (No. 225); the cell edges are 12.0181, 12.0181 and 12.0181 Å and the angles 90.00°, 90.00° and 90.00°. The inequivalent atoms are Pr at (0.0000, 0.2500, 0.2500), Th at (0.0000, 0.0000, 0.0000), Se at (0.0000, 0.0000, 0.2509) and Se at (0.2500, 0.2500, 0.2500).

For the formation energy (no corrections), the calculation gives -1.819 eV per atom.

***

## HfCoHRh2 (PBE)

Data for crystalline HfCoHRh2 at its relaxed geometry.

The structure belongs to space group P4/mmm (No. 123); the cell edges are 3.8878, 3.8878 and 4.0643 Å and the angles 90.00°, 90.00° and 90.00°. The inequivalent atoms are Hf at (0.0000, 0.0000, 0.0000), Co at (0.5000, 0.5000, 0.0000), H at (0.0000, 0.0000, 0.5000) and Rh at (0.0000, 0.5000, 0.5000).

Its total energy is -7.45 eV/atom.

***

## SiPAu2 (PBE)

Data for crystalline SiPAu2 at its relaxed geometry.

The structure belongs to space group Pm (No. 6); the cell edges are 4.4531, 3.5300 and 4.9488 Å and the angles 90.00°, 113.88° and 90.00°. The inequivalent atoms are Si at (0.0000, 0.0000, 0.0000), P at (0.3619, 0.5000, 0.0938), Au at (0.4882, 0.5000, 0.6539) and Au at (0.8872, 0.0000, 0.4450).

For the formation energy (no corrections), the calculation gives 0.060 eV per atom.

***

## LiCaBr (PBE)

Data for crystalline LiCaBr at its relaxed geometry.

The structure belongs to space group Fmm2 (No. 42); the cell edges are 4.0697, 6.5264 and 13.2031 Å and the angles 90.00°, 90.00° and 90.00°. The inequivalent atoms are Li at (0.0000, 0.0000, 0.0000), Ca at (0.0000, 0.0000, 0.6995) and Br at (0.0000, 0.0000, 0.3682).

For the formation energy (no corrections), the calculation gives -0.827 eV per atom.

***

## FeHg2Rh (PBE)

Data for crystalline FeHg2Rh at its relaxed geometry.

The structure belongs to space group Cm (No. 8); the cell edges are 10.2288, 3.0346 and 4.7972 Å and the angles 90.00°, 109.54° and 90.00°. The inequivalent atoms are Fe at (0.0000, 0.0000, 0.0000), Hg at (0.2452, 0.0000, 0.7909), Hg at (0.4632, 0.0000, 0.4681) and Rh at (0.2008, 0.5000, 0.2535).

Its formation energy is 1.141 eV/f.u.

***

## CdPAuS2 (PBE)

Data for crystalline CdPAuS2 at its relaxed geometry.

The structure belongs to space group P4/mmm (No. 123); the cell edges are 4.9754, 4.9754 and 4.9906 Å and the angles 90.00°, 90.00° and 90.00°. The inequivalent atoms are Cd at (0.0000, 0.0000, 0.0000), P at (0.0000, 0.0000, 0.5000), Au at (0.5000, 0.5000, 0.5000) and S at (0.0000, 0.5000, 0.0000).

For the formation energy (no corrections), the calculation gives 1.173 eV per atom.

***

## Na5ThTe5 (PBE)

Data for crystalline Na5ThTe5 at its relaxed geometry.

The structure belongs to space group C2/m (No. 12); the cell edges are 15.2204, 6.2986 and 8.7968 Å and the angles 90.00°, 107.36° and 90.00°. The inequivalent atoms are Na at (0.0000, 0.0000, 0.0000), Na at (0.1839, 0.5000, 0.3621), Na at (0.1874, 0.5000, 0.8242), Th at (0.0000, 0.0000, 0.5000), Te at (0.0000, 0.5000, 0.5000), Te at (0.1492, 0.0000, 0.3228) and Te at (0.1577, 0.0000, 0.8249).

For the formation energy (no corrections), the calculation gives -0.915 eV per atom.

***

## LiCdAgBi (PBE)

Data for crystalline LiCdAgBi at its relaxed geometry.

The structure belongs to space group Cm (No. 8); the cell edges are 9.1607, 4.6478 and 4.6823 Å and the angles 90.00°, 117.79° and 90.00°. The inequivalent atoms are Li at (0.0000, 0.0000, 0.0000), Cd at (0.2500, 0.5000, 0.2434), Ag at (0.4988, 0.0000, 0.4817) and Bi at (0.2503, 0.0000, 0.7494).

Its formation energy is -0.540 eV/f.u.

***

## Li2HgRu (PBE)

Data for crystalline Li2HgRu at its relaxed geometry.

The structure belongs to space group P4/mmm (No. 123); the cell edges are 2.7307, 2.7307 and 8.5560 Å and the angles 90.00°, 90.00° and 90.00°. The inequivalent atoms are Li at (0.0000, 0.0000, 0.2289), Hg at (0.5000, 0.5000, 0.5000) and Ru at (0.5000, 0.5000, 0.0000).

Its formation energy is 0.522 eV/f.u.

***

## Cd2Hg2Pd7 (PBE)

Data for crystalline Cd2Hg2Pd7 at its relaxed geometry.

The structure belongs to space group Cmmm (No. 65); the cell edges are 7.3977, 9.0363 and 6.7214 Å and the angles 90.00°, 90.00° and 90.00°. The inequivalent atoms are Cd at (0.0000, 0.1987, 0.0000), Hg at (0.1812, 0.5000, 0.5000), Pd at (0.0000, 0.0000, 0.2955), Pd at (0.0000, 0.5000, 0.0000) and Pd at (0.2500, 0.2500, 0.2845).

Its formation energy is 1.871 eV/f.u.

***

## Ag2SbAu (PBE)

Data for crystalline Ag2SbAu at its relaxed geometry.

The structure belongs to space group Pm (No. 6); the cell edges are 3.0049, 4.1392 and 6.7671 Å and the angles 90.00°, 94.30° and 90.00°. The inequivalent atoms are Ag at (0.0000, 0.0000, 0.0000), Ag at (0.4640, 0.5000, 0.7857), Sb at (0.6480, 0.0000, 0.4974) and Au at (0.5418, 0.5000, 0.2118).

For the formation energy (no corrections), the calculation gives 0.059 eV per atom.

***

## TcHgOs2 (PBE)

Data for crystalline TcHgOs2 at its relaxed geometry.

The structure belongs to space group P4mm (No. 99); the cell edges are 2.7937, 2.7937 and 8.1473 Å and the angles 90.00°, 90.00° and 90.00°. The inequivalent atoms are Tc at (0.0000, 0.0000, 0.0000), Hg at (0.5000, 0.5000, 0.2744), Os at (0.0000, 0.0000, 0.5502) and Os at (0.5000, 0.5000, 0.7694).

Its formation energy is 1.837 eV/f.u.

***

## SrCaBeO2 (PBE)

Data for crystalline SrCaBeO2 at its relaxed geometry.

The structure belongs to space group P4/mmm (No. 123); the cell edges are 4.0979, 4.0979 and 4.3600 Å and the angles 90.00°, 90.00° and 90.00°. The inequivalent atoms are Sr at (0.0000, 0.0000, 0.0000), Ca at (0.5000, 0.5000, 0.0000), Be at (0.5000, 0.5000, 0.5000) and O at (0.0000, 0.5000, 0.5000).

For the formation energy (no corrections), the calculation gives -0.240 eV per atom.

***

## Pm2ErScTl4 (PBE)

Data for crystalline Pm2ErScTl4 at its relaxed geometry.

The structure belongs to space group R-3m (No. 166, hexagonal axes); the cell edges are 5.3537, 5.3537 and 26.3291 Å and the angles 90.00°, 90.00° and 120.00°. The inequivalent atoms are Pm at (0.0000, 0.0000, 0.2487), Er at (0.0000, 0.0000, 0.0000), Sc at (0.0000, 0.0000, 0.5000), Tl at (0.0000, 0.0000, 0.1258) and Tl at (0.0000, 0.0000, 0.3760).

Its formation energy is -2.604 eV/f.u.